Model a:
Here is an optimized crystal structure of LiZnAsO from OQMD via LeMat-Bulk. Energies are from PBE-GGA.

As for the symmetry: No. 129.

Cell: 3.675 3.675 9.430 Å, 90.00 90.00 90.00°
Fractional positions:
As  0.750  0.750  0.296
As  0.250  0.250  0.704
Li  0.750  0.250  0.500
Li  0.250  0.750  0.500
O  0.750  0.250  0.000
O  0.250  0.750  0.000
Zn  0.250  0.250  0.082
Zn  0.750  0.750  0.918


Model b:
Here is an optimized crystal structure of LiZnAsO from OQMD via LeMat-Bulk. Energies are from PBE-GGA.

As for the symmetry: No. 129.

Cell: 3.879 3.879 7.119 Å, 90.00 90.00 90.00°
Fractional positions:
As  0.000  0.500  0.260
As  0.500  0.000  0.740
Li  0.500  0.000  0.083
Li  0.000  0.500  0.917
O  0.000  0.000  0.000
O  0.500  0.500  0.000
Zn  0.000  0.000  0.500
Zn  0.500  0.500  0.500


Most stable = model b


Model a:
Here is an optimized crystal structure of LiZnAsO4 from OQMD via LeMat-Bulk. Energies are from PBE-GGA.

As for the symmetry: No. 146.

Cell: 8.689 8.689 8.689 Å, 107.75 107.75 107.75°
Fractional positions:
As  0.826  0.593  0.004
As  0.290  0.522  0.113
As  0.522  0.113  0.290
As  0.113  0.290  0.522
As  0.004  0.826  0.593
As  0.593  0.004  0.826
Li  0.933  0.330  0.162
Li  0.162  0.933  0.330
Li  0.617  0.854  0.450
Li  0.854  0.450  0.617
Li  0.450  0.617  0.854
Li  0.330  0.162  0.933
O  0.690  0.699  0.023
O  0.072  0.369  0.032
O  0.754  0.086  0.040
O  0.369  0.032  0.072
O  0.040  0.754  0.086
O  0.415  0.405  0.093
O  0.814  0.477  0.131
O  0.637  0.986  0.310
O  0.374  0.669  0.333
O  0.032  0.072  0.369
O  0.669  0.333  0.374
O  0.093  0.415  0.405
O  0.405  0.093  0.415
O  0.782  0.746  0.449
O  0.131  0.814  0.477
O  0.986  0.310  0.637
O  0.333  0.374  0.669
O  0.699  0.023  0.690
O  0.023  0.690  0.699
O  0.449  0.782  0.746
O  0.086  0.040  0.754
O  0.746  0.449  0.782
O  0.477  0.131  0.814
O  0.310  0.637  0.986
Zn  0.784  0.950  0.183
Zn  0.665  0.497  0.259
Zn  0.259  0.665  0.497
Zn  0.497  0.259  0.665
Zn  0.950  0.183  0.784
Zn  0.183  0.784  0.950


Model b:
Here is an optimized crystal structure of LiZnAsO4 from OQMD via LeMat-Bulk. Energies are from PBE-GGA.

As for the symmetry: No. 63.

Cell: 5.128 5.128 6.265 Å, 90.00 90.00 113.24°
Fractional positions:
As  0.350  0.650  0.250
As  0.650  0.350  0.750
Li  0.664  0.336  0.250
Li  0.336  0.664  0.750
O  0.238  0.762  0.026
O  0.244  0.282  0.250
O  0.718  0.756  0.250
O  0.238  0.762  0.474
O  0.762  0.238  0.526
O  0.282  0.244  0.750
O  0.756  0.718  0.750
O  0.762  0.238  0.974
Zn  0.000  0.000  0.000
Zn  0.000  0.000  0.500


Most stable = model a


Model a:
Here is an optimized crystal structure of LiZrAsO from OQMD via LeMat-Bulk. Energies are from PBE-GGA.

As for the symmetry: No. 129.

Cell: 5.387 5.387 4.409 Å, 90.00 90.00 90.00°
Fractional positions:
As  0.000  0.500  0.494
As  0.500  0.000  0.506
Li  0.500  0.000  0.005
Li  0.000  0.500  0.995
O  0.000  0.000  0.000
O  0.500  0.500  0.000
Zr  0.000  0.000  0.500
Zr  0.500  0.500  0.500


Model b:
Here is an optimized crystal structure of LiZrAsO from OQMD via LeMat-Bulk. Energies are from PBE-GGA.

As for the symmetry: No. 26.

Cell: 3.627 6.131 6.283 Å, 90.00 90.00 90.00°
Fractional positions:
As  0.000  0.233  0.346
As  0.000  0.767  0.846
Li  0.000  0.643  0.422
Li  0.000  0.357  0.922
O  0.500  0.775  0.375
O  0.500  0.225  0.875
Zr  0.500  0.973  0.111
Zr  0.500  0.027  0.611


Most stable = model b


Model a:
Here is an optimized crystal structure of LiZrAsO from OQMD via LeMat-Bulk. Energies are from PBE-GGA.

As for the symmetry: No. 26.

Cell: 4.157 5.619 5.509 Å, 90.00 90.00 90.00°
Fractional positions:
As  0.000  0.755  0.394
As  0.000  0.245  0.894
Li  0.500  0.419  0.070
Li  0.500  0.581  0.570
O  0.500  0.288  0.393
O  0.500  0.712  0.893
Zr  0.000  0.232  0.397
Zr  0.000  0.768  0.897


Model b:
Here is an optimized crystal structure of LiZrAsO from OQMD via LeMat-Bulk. Energies are from PBE-GGA.

As for the symmetry: No. 129.

Cell: 3.647 3.647 8.821 Å, 90.00 90.00 90.00°
Fractional positions:
As  0.000  0.500  0.300
As  0.500  0.000  0.700
Li  0.000  0.000  0.500
Li  0.500  0.500  0.500
O  0.000  0.000  0.000
O  0.500  0.500  0.000
Zr  0.500  0.000  0.140
Zr  0.000  0.500  0.860


Most stable = model b


Model a:
Here is an optimized crystal structure of LiSnAsOs from OQMD via LeMat-Bulk. Energies are from PBE-GGA.

As for the symmetry: No. 216.

Cell: 4.554 4.554 4.554 Å, 60.00 60.00 60.00°
Fractional positions:
As  0.250  0.250  0.250
Li  0.750  0.750  0.750
Os  0.000  0.000  0.000
Sn  0.500  0.500  0.500


Model b:
Here is an optimized crystal structure of LiSnAsOs from OQMD via LeMat-Bulk. Energies are from PBE-GGA.

As for the symmetry: No. 216.

Cell: 4.517 4.517 4.517 Å, 60.00 60.00 60.00°
Fractional positions:
As  0.000  0.000  0.000
Li  0.750  0.750  0.750
Os  0.250  0.250  0.250
Sn  0.500  0.500  0.500


Most stable = model b


Model a:
Here is an optimized crystal structure of SrLiAsPd from OQMD via LeMat-Bulk. Energies are from PBE-GGA.

As for the symmetry: No. 216.

Cell: 4.794 4.794 4.794 Å, 60.00 60.00 60.00°
Fractional positions:
As  0.500  0.500  0.500
Li  0.750  0.750  0.750
Pd  0.250  0.250  0.250
Sr  0.000  0.000  0.000


Model b:
Here is an optimized crystal structure of SrLiAsPd from OQMD via LeMat-Bulk. Energies are from PBE-GGA.

As for the symmetry: No. 216.

Cell: 4.961 4.961 4.961 Å, 60.00 60.00 60.00°
Fractional positions:
As  0.000  0.000  0.000
Li  0.750  0.750  0.750
Pd  0.500  0.500  0.500
Sr  0.250  0.250  0.250


Most stable = model a


Model a:
Here is an optimized crystal structure of LiZnAsPd from OQMD via LeMat-Bulk. Energies are from PBE-GGA.

As for the symmetry: No. 216.

Cell: 4.395 4.395 4.395 Å, 60.00 60.00 60.00°
Fractional positions:
As  0.500  0.500  0.500
Li  0.750  0.750  0.750
Pd  0.250  0.250  0.250
Zn  0.000  0.000  0.000


Model b:
Here is an optimized crystal structure of LiZnAsPd from OQMD via LeMat-Bulk. Energies are from PBE-GGA.

As for the symmetry: No. 216.

Cell: 4.401 4.401 4.401 Å, 60.00 60.00 60.00°
Fractional positions:
As  0.000  0.000  0.000
Li  0.750  0.750  0.750
Pd  0.500  0.500  0.500
Zn  0.250  0.250  0.250


Most stable = model a


Model a:
Here is an optimized crystal structure of LiZnAsPt from OQMD via LeMat-Bulk. Energies are from PBE-GGA.

As for the symmetry: No. 216.

Cell: 4.389 4.389 4.389 Å, 60.00 60.00 60.00°
Fractional positions:
As  0.500  0.500  0.500
Li  0.750  0.750  0.750
Pt  0.250  0.250  0.250
Zn  0.000  0.000  0.000


Model b:
Here is an optimized crystal structure of LiZnAsPt from OQMD via LeMat-Bulk. Energies are from PBE-GGA.

As for the symmetry: No. 216.

Cell: 4.395 4.395 4.395 Å, 60.00 60.00 60.00°
Fractional positions:
As  0.250  0.250  0.250
Li  0.750  0.750  0.750
Pt  0.500  0.500  0.500
Zn  0.000  0.000  0.000


Most stable = model a


Model a:
Here is an optimized crystal structure of LiReSbAs from OQMD via LeMat-Bulk. Energies are from PBE-GGA.

As for the symmetry: No. 216.

Cell: 4.544 4.544 4.544 Å, 60.00 60.00 60.00°
Fractional positions:
As  0.500  0.500  0.500
Li  0.750  0.750  0.750
Re  0.250  0.250  0.250
Sb  0.000  0.000  0.000


Model b:
Here is an optimized crystal structure of LiReSbAs from OQMD via LeMat-Bulk. Energies are from PBE-GGA.

As for the symmetry: No. 216.

Cell: 4.595 4.595 4.595 Å, 60.00 60.00 60.00°
Fractional positions:
As  0.250  0.250  0.250
Li  0.750  0.750  0.750
Re  0.500  0.500  0.500
Sb  0.000  0.000  0.000


Most stable = model a


Model a:
Here is an optimized crystal structure of LiTcSbAs from OQMD via LeMat-Bulk. Energies are from PBE-GGA.

As for the symmetry: No. 216.

Cell: 4.610 4.610 4.610 Å, 60.00 60.00 60.00°
Fractional positions:
As  0.250  0.250  0.250
Li  0.750  0.750  0.750
Sb  0.000  0.000  0.000
Tc  0.500  0.500  0.500


Model b:
Here is an optimized crystal structure of LiTcSbAs from OQMD via LeMat-Bulk. Energies are from PBE-GGA.

As for the symmetry: No. 216.

Cell: 4.544 4.544 4.544 Å, 60.00 60.00 60.00°
Fractional positions:
As  0.500  0.500  0.500
Li  0.750  0.750  0.750
Sb  0.000  0.000  0.000
Tc  0.250  0.250  0.250


Most stable = model b


Model a:
Here is an optimized crystal structure of LiUAs from OQMD via LeMat-Bulk. Energies are from PBE-GGA.

As for the symmetry: No. 216.

Cell: 4.694 4.694 4.694 Å, 60.00 60.00 60.00°
Fractional positions:
As  0.250  0.250  0.250
Li  0.750  0.750  0.750
U  0.000  0.000  0.000


Model b:
Here is an optimized crystal structure of LiUAs from OQMD via LeMat-Bulk. Energies are from PBE-GGA.

As for the symmetry: No. 216.

Cell: 4.633 4.633 4.633 Å, 60.00 60.00 60.00°
Fractional positions:
As  0.000  0.000  0.000
Li  0.250  0.250  0.250
U  0.750  0.750  0.750


Most stable = model b


Model a:
Here is an optimized crystal structure of LuMgNiAs from OQMD via LeMat-Bulk. Energies are from PBE-GGA.

As for the symmetry: No. 216.

Cell: 4.667 4.667 4.667 Å, 60.00 60.00 60.00°
Fractional positions:
As  0.000  0.000  0.000
Lu  0.250  0.250  0.250
Mg  0.500  0.500  0.500
Ni  0.750  0.750  0.750


Model b:
Here is an optimized crystal structure of LuMgNiAs from OQMD via LeMat-Bulk. Energies are from PBE-GGA.

As for the symmetry: No. 216.

Cell: 4.686 4.686 4.686 Å, 60.00 60.00 60.00°
Fractional positions:
As  0.000  0.000  0.000
Lu  0.500  0.500  0.500
Mg  0.250  0.250  0.250
Ni  0.750  0.750  0.750


Most stable = model a